! Nb4CN, optimized geometry, DFT GGA-PBE; values from VASP
&SYSTEM
  ibrav = 0, nat = 12, ntyp = 3
/
ATOMIC_SPECIES
Nb 92.91 Nb.upf
C 12.01 C.upf
N 14.01 N.upf
CELL_PARAMETERS angstrom
5.4832 0.0000 0.0139
0.0000 5.4783 0.0000
-0.0668 0.0000 5.4720
ATOMIC_POSITIONS crystal
Nb 0.8604 0.6446 0.1471
Nb 0.6396 0.1446 0.8529
Nb 0.3484 0.3555 0.3557
Nb 0.1516 0.8555 0.6443
Nb 0.1396 0.3554 0.8529
Nb 0.3604 0.8554 0.1471
Nb 0.6516 0.6445 0.6443
Nb 0.8484 0.1445 0.3557
C 0.0000 0.0000 0.0000
C 0.5000 0.5000 0.0000
N 0.5000 0.0000 0.5000
N 0.0000 0.5000 0.5000
! Volume, Å³/f.u.: 82.2
! Crystal system: monoclinic
! Uncorrected energy, eV/atom: -10.068
! DOS at the Fermi energy, states/eV per cell: 4.6
! Space group: P2_1/c
! Relative energy among the computed polymorphs, meV per atom: 214.9